Pr6Ge2PbSe3 | PBE-GGA | relaxed

Lattice parameters (Å, degrees): 9.766 9.766 8.782 103.07 103.07 25.71
Fractional coordinates of all 12 atoms:
Pr 0.003 0.003 0.263
Pr 0.329 0.329 0.905
Pr 0.330 0.330 0.422
Pr 0.670 0.670 0.578
Pr 0.671 0.671 0.095
Pr 0.997 0.997 0.737
Ge 0.167 0.167 0.334
Ge 0.833 0.833 0.666
Pb 0.500 0.500 0.000
Se 0.166 0.166 0.832
Se 0.500 0.500 0.500
Se 0.834 0.834 0.168

Results
The value obtained for the energy relative to the elements, uncorrected is -1.3156 eV/atom. The magnetic moment is 0.0 Bohr magnetons per cell.